# PBE Tb3CeNd2Te6, relaxed
data_Tb3CeNd2Te6
_chemical_formula_sum 'Tb3 Ce1 Nd2 Te6'
_symmetry_space_group_name_H-M 'P 1'
_symmetry_Int_Tables_number 1
_cell_length_a 9.941
_cell_length_b 9.941
_cell_length_c 8.951
_cell_angle_alpha 103.76
_cell_angle_beta 103.76
_cell_angle_gamma 25.56
loop_
_symmetry_equiv_pos_as_xyz
'x,y,z'
loop_
_atom_site_label
_atom_site_fract_x
_atom_site_fract_y
_atom_site_fract_z
Tb1 0.000 0.000 0.000
Tb2 0.332 0.332 0.665
Tb3 0.668 0.668 0.335
Ce1 0.000 0.000 0.500
Nd1 0.334 0.334 0.167
Nd2 0.666 0.666 0.833
Te1 0.164 0.164 0.089
Te2 0.168 0.168 0.577
Te3 0.497 0.497 0.755
Te4 0.503 0.503 0.245
Te5 0.832 0.832 0.423
Te6 0.836 0.836 0.911
# total moment	0.110	μB/atom
# formation energy from raw total energies	-1.36	eV per atom
# calculated total energy	-5.381	eV per atom
# D(E_F)	12.338	states/eV/f.u.
# space-group type	C2/m, No. 12